Run one
Compound: HoThScCd
Source: Alexandria via LeMat-Bulk
Functional: PBE
Structure: relaxed

Cell: 5.3809 5.3809 5.3809 Å, 60.00 60.00 60.00°
With the nearest neighbours (Å) after each atom.
Fractional coordinates of all 4 atoms:
Sc1 0.2500 0.2500 0.2500  4 Th 3.30, 4 Ho 3.30
Ho1 0.5000 0.5000 0.5000  4 Cd 3.30, 4 Sc 3.30
Th1 0.0000 0.0000 0.0000  4 Sc 3.30, 4 Cd 3.30
Cd1 0.7500 0.7500 0.7500  4 Ho 3.30, 4 Th 3.30

**Total magnetization**: 0.25 μB/atom

***

Run two
Compound: HoThScCd
Source: Alexandria via LeMat-Bulk
Functional: PBE
Structure: relaxed

Cell: 3.5465 3.5465 8.5208 Å, 90.00 90.00 90.00°
With the nearest neighbours (Å) after each atom.
Fractional coordinates of all 4 atoms:
Ho1 0.5000 0.5000 0.7995  4 Cd 3.26, 4 Th 3.49, 4 Ho 3.55
Th1 0.0000 0.0000 0.0843  4 Sc 3.35, 4 Ho 3.49, 4 Th 3.55
Sc1 0.5000 0.5000 0.3457  4 Cd 3.08, 4 Th 3.35
Cd1 0.0000 0.0000 0.5553  4 Sc 3.08, 4 Ho 3.26

**Total magnetization**: 0.00 μB/atom

***

Question: of the structures shown, which is the most stable? Reply: run two.